# Ac4SbSe3 PBE relaxed
data_Ac4SbSe3
_space_group_name_H-M_alt 'P m -3 m'
_space_group_IT_number 221
_space_group_name_Hall '-P 4 2 3'
_cell_length_a 6.4495
_cell_length_b 6.4495
_cell_length_c 6.4495
_cell_angle_alpha 90.00
_cell_angle_beta 90.00
_cell_angle_gamma 90.00
loop_
_atom_site_label
_atom_site_type_symbol
_atom_site_fract_x
_atom_site_fract_y
_atom_site_fract_z
Ac1 Ac 0.0000 0.0000 0.0000
Ac2 Ac 0.0000 0.5000 0.5000
Sb1 Sb 0.5000 0.5000 0.5000
Se1 Se 0.0000 0.0000 0.5000
# **Formation energy without anion corrections**: -13.6 eV per formula unit
# **ρ**: 7.84 g cm⁻³
# **Raw total energy**: -44.6 eV for the cell shown



# AcSb2Se4 PBE relaxed
data_AcSb2Se4
_space_group_name_H-M_alt 'F d d d'
_space_group_IT_number 70
_cell_length_a 9.0398
_cell_length_b 12.7842
_cell_length_c 14.4950
_cell_angle_alpha 90.00
_cell_angle_beta 90.00
_cell_angle_gamma 90.00
loop_
_space_group_symop_operation_xyz
'x,y,z'
'-x,-y,-z'
'-x+1/4,-y+1/4,z'
'x+1/4,y+1/4,-z'
'x,-y+1/4,-z+1/4'
'-x,y+1/4,z+1/4'
'-x+1/4,y,-z+1/4'
'x+1/4,-y,z+1/4'
'x,y+1/2,z+1/2'
'-x,-y+1/2,-z+1/2'
'-x+1/4,-y+3/4,z+1/2'
'x+1/4,y+3/4,-z+1/2'
'x,-y+3/4,-z+3/4'
'-x,y+3/4,z+3/4'
'-x+1/4,y+1/2,-z+3/4'
'x+1/4,-y+1/2,z+3/4'
'x+1/2,y,z+1/2'
'-x+1/2,-y,-z+1/2'
'-x+3/4,-y+1/4,z+1/2'
'x+3/4,y+1/4,-z+1/2'
'x+1/2,-y+1/4,-z+3/4'
'-x+1/2,y+1/4,z+3/4'
'-x+3/4,y,-z+3/4'
'x+3/4,-y,z+3/4'
'x+1/2,y+1/2,z'
'-x+1/2,-y+1/2,-z'
'-x+3/4,-y+3/4,z'
'x+3/4,y+3/4,-z'
'x+1/2,-y+3/4,-z+1/4'
'-x+1/2,y+3/4,z+1/4'
'-x+3/4,y+1/2,-z+1/4'
'x+3/4,-y+1/2,z+1/4'
loop_
_atom_site_label
_atom_site_type_symbol
_atom_site_fract_x
_atom_site_fract_y
_atom_site_fract_z
Ac1 Ac 0.1250 0.1250 0.1250
Sb1 Sb 0.0000 0.0000 0.5000
Se1 Se 0.0569 0.2786 0.9609
# **Formation energy without anion corrections**: -5.2 eV per formula unit
# **ρ**: 6.24 g cm⁻³
# **Raw total energy**: -252.1 eV for the cell shown



# AcSbSe3 PBE relaxed
data_AcSbSe3
_space_group_name_H-M_alt 'A m a 2'
_space_group_IT_number 40
_space_group_name_Hall 'A 2 -2a'
_cell_length_a 5.5778
_cell_length_b 19.9650
_cell_length_c 5.8419
_cell_angle_alpha 90.00
_cell_angle_beta 90.00
_cell_angle_gamma 90.00
loop_
_atom_site_label
_atom_site_type_symbol
_atom_site_fract_x
_atom_site_fract_y
_atom_site_fract_z
Ac1 Ac 0.2500 0.1537 0.0000
Sb1 Sb 0.2500 0.4236 0.9666
Se1 Se 0.2500 0.0845 0.4873
Se2 Se 0.2500 0.2938 0.8025
Se3 Se 0.2500 0.4212 0.4117
# **Formation energy without anion corrections**: -5.2 eV per formula unit
# **ρ**: 5.98 g cm⁻³
# **Raw total energy**: -95.6 eV for the cell shown



# Ac3SbSe2 PBE relaxed
data_Ac3SbSe2
_space_group_name_H-M_alt 'I m m m'
_space_group_IT_number 71
_space_group_name_Hall '-I 2 2'
_cell_length_a 4.5948
_cell_length_b 6.4904
_cell_length_c 13.7100
_cell_angle_alpha 90.00
_cell_angle_beta 90.00
_cell_angle_gamma 90.00
loop_
_atom_site_label
_atom_site_type_symbol
_atom_site_fract_x
_atom_site_fract_y
_atom_site_fract_z
Ac1 Ac 0.0000 0.0000 0.0000
Ac2 Ac 0.0000 0.0000 0.3276
Sb1 Sb 0.0000 0.5000 0.0000
Se1 Se 0.0000 0.5000 0.3354
# **Formation energy without anion corrections**: -10.0 eV per formula unit
# **ρ**: 7.80 g cm⁻³
# **Raw total energy**: -66.7 eV for the cell shown